The following is a PBE+U calculation of a geometry-optimized MnIrI2F structure, from the Alexandria database.

The structure belongs to space group P4/mmm (No. 123); the cell edges are 5.6143, 5.6143 and 3.8925 Å and the angles 90.00°, 90.00° and 90.00°. The distinct sites, in fractional coordinates, are Mn at (0.0000, 0.0000, 0.0000), Ir at (0.5000, 0.5000, 0.0000), I at (0.0000, 0.5000, 0.5000) and F at (0.5000, 0.5000, 0.5000).

The value obtained for the uncorrected energy is -2.999 eV per atom. As for the density of states at the Fermi level: 13.212 states/eV/cell. Its total magnetization is 2.37 μB/f.u. The calculation puts the polymorph energy (0 for the lowest one) at 1211 meV per atom.